(1)
## PmPr2Ni (PBE)

Data for a relaxed PmPr2Ni crystal.

Output
Volume (Å³/cell): 230.2
E above lowest polymorph (eV/atom): 0.0370
SG: Cmcm (63)
Energy of formation (meV per atom): -126

Lattice parameters (Å, degrees): 6.569 6.569 7.538 90.00 90.00 134.93
Fractional positions:
Pm 0.034 0.966 0.750
Pm 0.966 0.034 0.250
Pr 0.349 0.651 0.527
Pr 0.349 0.651 0.973
Pr 0.651 0.349 0.027
Pr 0.651 0.349 0.473
Ni 0.193 0.807 0.250
Ni 0.807 0.193 0.750


(2)
## CeDy2Pb (PBE)

Data for a relaxed CeDy2Pb crystal.

Output
Volume (Å³/cell): 120.6
E above lowest polymorph (eV/atom): 0.1501
SG: R3m (160)
Energy of formation (meV per atom): -106

Lattice parameters (Å, degrees): 11.244 11.244 11.244 18.16 18.16 18.16
Fractional positions:
Ce 0.000 0.000 0.000
Dy 0.246 0.246 0.246
Dy 0.420 0.420 0.420
Pb 0.833 0.833 0.833


(3)
## ErFeRe (PBE)

Data for a relaxed ErFeRe crystal.

Output
Volume (Å³/cell): 244.2
E above lowest polymorph (eV/atom): 0.6543
SG: P4_12_12 (92)
Energy of formation (meV per atom): 512

Lattice parameters (Å, degrees): 6.511 6.511 5.761 90.00 90.00 90.00
Fractional positions:
Er 0.241 0.241 0.000
Er 0.259 0.741 0.250
Er 0.741 0.259 0.750
Er 0.759 0.759 0.500
Fe 0.062 0.062 0.500
Fe 0.438 0.562 0.750
Fe 0.562 0.438 0.250
Fe 0.938 0.938 0.000
Re 0.185 0.815 0.750
Re 0.315 0.315 0.500
Re 0.685 0.685 0.000
Re 0.815 0.185 0.250


(4)
## TbScAs2 (PBE)

Data for a relaxed TbScAs2 crystal.

Output
Volume (Å³/cell): 93.8
E above lowest polymorph (eV/atom): 0.1517
SG: R3m (160)
Energy of formation (meV per atom): -1293

Lattice parameters (Å, degrees): 7.183 7.183 7.183 32.24 32.24 32.24
Fractional positions:
Tb 0.000 0.000 0.000
Sc 0.171 0.171 0.171
As 0.423 0.423 0.423
As 0.582 0.582 0.582


(5)
## Cd3In5Pb12 (PBE)

Data for a relaxed Cd3In5Pb12 crystal.

Output
Volume (Å³/cell): 2849.3
SG: Ia-3d (230)
Energy of formation (meV per atom): 193

Lattice parameters (Å, degrees): 15.469 15.469 15.469 109.47 109.47 109.47
Fractional positions:
Cd 0.125 0.250 0.375
Cd 0.125 0.375 0.750
Cd 0.250 0.375 0.125
Cd 0.250 0.875 0.625
Cd 0.375 0.125 0.250
Cd 0.375 0.750 0.125
Cd 0.625 0.250 0.875
Cd 0.625 0.875 0.750
Cd 0.750 0.125 0.375
Cd 0.750 0.625 0.875
Cd 0.875 0.625 0.250
Cd 0.875 0.750 0.625
In 0.000 0.000 0.000
In 0.000 0.000 0.500
In 0.000 0.500 0.000
In 0.000 0.500 0.500
In 0.125 0.750 0.875
In 0.125 0.875 0.250
In 0.250 0.125 0.875
In 0.250 0.625 0.375
In 0.375 0.250 0.625
In 0.375 0.625 0.750
In 0.500 0.000 0.000
In 0.500 0.000 0.500
In 0.500 0.500 0.000
In 0.500 0.500 0.500
In 0.625 0.375 0.250
In 0.625 0.750 0.375
In 0.750 0.375 0.625
In 0.750 0.875 0.125
In 0.875 0.125 0.750
In 0.875 0.250 0.125
Pb 0.065 0.632 0.397
Pb 0.065 0.933 0.668
Pb 0.067 0.234 0.132
Pb 0.067 0.332 0.935
Pb 0.103 0.734 0.668
Pb 0.103 0.868 0.435
Pb 0.132 0.067 0.234
Pb 0.132 0.565 0.897
Pb 0.168 0.234 0.603
Pb 0.168 0.433 0.565
Pb 0.234 0.132 0.067
Pb 0.234 0.603 0.168
Pb 0.266 0.332 0.897
Pb 0.266 0.433 0.368
Pb 0.332 0.897 0.266
Pb 0.332 0.935 0.067
Pb 0.368 0.266 0.433
Pb 0.368 0.603 0.935
Pb 0.397 0.065 0.632
Pb 0.397 0.832 0.766
Pb 0.433 0.368 0.266
Pb 0.433 0.565 0.168
Pb 0.435 0.103 0.868
Pb 0.435 0.832 0.567
Pb 0.565 0.168 0.433
Pb 0.565 0.897 0.132
Pb 0.567 0.435 0.832
Pb 0.567 0.632 0.734
Pb 0.603 0.168 0.234
Pb 0.603 0.935 0.368
Pb 0.632 0.397 0.065
Pb 0.632 0.734 0.567
Pb 0.668 0.065 0.933
Pb 0.668 0.103 0.734
Pb 0.734 0.567 0.632
Pb 0.734 0.668 0.103
Pb 0.766 0.397 0.832
Pb 0.766 0.868 0.933
Pb 0.832 0.567 0.435
Pb 0.832 0.766 0.397
Pb 0.868 0.435 0.103
Pb 0.868 0.933 0.766
Pb 0.897 0.132 0.565
Pb 0.897 0.266 0.332
Pb 0.933 0.668 0.065
Pb 0.933 0.766 0.868
Pb 0.935 0.067 0.332
Pb 0.935 0.368 0.603


(6)
## SiTc2P (PBE)

Data for a relaxed SiTc2P crystal.

Output
E_form (uncorrected) (meV/atom): -190
Volume (Å³/cell): 55.1
E above lowest polymorph (eV/atom): 0.3120
SG: P2/m (10)

Lattice parameters (Å, degrees): 2.950 3.492 5.472 90.00 101.95 90.00
Fractional positions:
Si 0.000 0.000 0.000
Tc 0.355 0.500 0.737
Tc 0.645 0.500 0.263
P 0.000 0.000 0.500


(7)
## Li2VReBi (PBE)

Data for a relaxed Li2VReBi crystal.

Output
Volume (Å³/cell): 103.9
SG: P4/mmm (123)
Energy of formation (meV per atom): 932

Lattice parameters (Å, degrees): 4.834 4.834 4.448 90.00 90.00 90.00
Fractional positions:
Li 0.000 0.500 0.000
Li 0.500 0.000 0.000
V 0.000 0.000 0.500
Re 0.000 0.000 0.000
Bi 0.500 0.500 0.500


(8)
## TeRuSe4 (PBE)

Data for a relaxed TeRuSe4 crystal.

Output
E_form (uncorrected) (meV/atom): 1038
Volume (Å³/cell): 130.0
SG: F-43m (216)

Lattice parameters (Å, degrees): 5.687 5.687 5.687 60.00 60.00 60.00
Fractional positions:
Te 0.000 0.000 0.000
Ru 0.750 0.750 0.750
Se 0.377 0.377 0.377
Se 0.377 0.377 0.870
Se 0.377 0.870 0.377
Se 0.870 0.377 0.377


Which formula does entry 4 have? TbScAs2


Among the records above, which one has the lowest volume? SiTc2P


Among the records above, which one has the highest volume? Cd3In5Pb12